Compound: BaVSe2O8
Source: the Alexandria database
Functional: PBE with a Hubbard U
Structure: optimized geometry

As for the calculated total energy: -5.985 eV/atom. The theoretical density comes out at 4.51 g cm⁻³.

Lattice parameters (Å, degrees): 5.6555 5.6555 6.8964 109.47 109.47 59.06
With the nearest neighbours (Å) after each atom.
Element x y z (fractional)
Ba (0.0000, 0.0000, 0.0000)  2 O 2.61
V (0.5000, 0.5000, 0.5000)  6 O 2.27-2.36
Se (0.2123, 0.2123, 0.6615)  4 O 1.64-1.69
Se (0.7877, 0.7877, 0.3385)  4 O 1.64-1.69
O (0.0954, 0.6099, 0.2542)  1 Se 1.69
O (0.1526, 0.1526, 0.4046)  1 Se 1.64
O (0.3901, 0.9046, 0.7458)  1 Se 1.69
O (0.3979, 0.3979, 0.7592)  1 Se 1.69
O (0.6021, 0.6021, 0.2408)  1 Se 1.69
O (0.6099, 0.0954, 0.2542)  1 Se 1.69
O (0.8474, 0.8474, 0.5954)  1 Se 1.64
O (0.9046, 0.3901, 0.7458)  1 Se 1.69